(1)
DFT (PBE) results for CsRhN2F after structural relaxation.

```
CsRhN2F
1.0
3.813 0.000 0.000
0.000 3.813 0.000
0.000 0.000 7.127
Cs Rh N F
1 1 2 1
direct
0.000 0.000 0.000
0.500 0.500 0.500
0.000 0.500 0.500
0.500 0.000 0.500
0.500 0.500 0.000
```

Summary:
* offset from the most stable computed form: 0.00 eV per formula unit
* energy relative to the elements, uncorrected: 0.024 eV/atom
* space-group type: No. 123
* total energy: -5.321 eV per atom
* mass density: 4.53 g cm⁻³

=====

(2)
DFT (PBE) results for CsRhN2F after structural relaxation.

```
CsRhN2F
1.0
4.736 0.000 0.000
0.000 4.736 0.000
0.000 0.000 5.060
Cs Rh N F
1 1 2 1
direct
0.000 0.000 0.000
0.500 0.500 0.500
0.000 0.500 0.000
0.500 0.000 0.000
0.000 0.000 0.500
```

Summary:
* offset from the most stable computed form: 11.32 eV per formula unit
* energy relative to the elements, uncorrected: 2.289 eV/atom
* space-group type: No. 123
* total energy: -3.057 eV per atom
* mass density: 4.14 g cm⁻³

=====

(3)
DFT (PBE) results for CsRhNF2 after structural relaxation.

```
CsRhNF2
1.0
4.708 0.000 0.000
0.000 4.708 0.000
0.000 0.000 3.710
Cs Rh N F
1 1 1 2
direct
0.000 0.000 0.000
0.500 0.500 0.500
0.500 0.500 0.000
0.000 0.500 0.500
0.500 0.000 0.500
```

Summary:
* offset from the most stable computed form: 0.00 eV per formula unit
* energy relative to the elements, uncorrected: -1.020 eV/atom
* space-group type: No. 123
* total energy: -5.075 eV per atom
* mass density: 5.81 g cm⁻³

=====

(4)
DFT (PBE) results for CsSNF2 after structural relaxation.

```
CsSNF2
1.0
4.940 0.000 0.000
0.000 4.940 0.000
0.000 0.000 3.405
Cs S N F
1 1 1 2
direct
0.000 0.000 0.000
0.500 0.500 0.500
0.500 0.500 0.000
0.000 0.500 0.500
0.500 0.000 0.500
```

Summary:
* offset from the most stable computed form: 0.00 eV per formula unit
* energy relative to the elements, uncorrected: -0.744 eV/atom
* space-group type: No. 123
* total energy: -4.154 eV per atom
* mass density: 4.34 g cm⁻³

=====

(5)
DFT (PBE) results for CsSN2F after structural relaxation.

```
CsSN2F
1.0
4.546 0.000 0.000
0.000 4.546 0.000
0.000 0.000 4.646
Cs S N F
1 1 2 1
direct
0.000 0.000 0.000
0.500 0.500 0.500
0.000 0.500 0.000
0.500 0.000 0.000
0.000 0.000 0.500
```

Summary:
* offset from the most stable computed form: 9.28 eV per formula unit
* energy relative to the elements, uncorrected: 2.326 eV/atom
* space-group type: No. 123
* total energy: -2.375 eV per atom
* mass density: 3.67 g cm⁻³

=====

(6)
DFT (PBE) results for CsSN2F after structural relaxation.

```
CsSN2F
1.0
3.652 0.000 0.000
0.000 3.652 0.000
0.000 0.000 6.724
Cs S N F
1 1 2 1
direct
0.000 0.000 0.000
0.500 0.500 0.500
0.000 0.500 0.500
0.500 0.000 0.500
0.500 0.500 0.000
```

Summary:
* offset from the most stable computed form: 0.00 eV per formula unit
* energy relative to the elements, uncorrected: 0.469 eV/atom
* space-group type: No. 123
* total energy: -4.231 eV per atom
* mass density: 3.92 g cm⁻³

=====

Question: Which formula does entry 5 have?
Answer: CsSN2F